# Na2Al

Crystalline Na2Al at its relaxed geometry (PBE-GGA, the Alexandria database).

Cell: 8.321 8.321 8.321 Å, 158.18 158.18 31.05°
Positions (direct):
Na (0.150, 0.150, 0.000)
Na (0.850, 0.850, 0.000)
Al (0.500, 0.500, 0.000)

- ΔE_f (eV per atom) = 0.176
- total magnetization (μB/cell) = 0.00